# 1
Li5Ni5Sn2O12 after structural relaxation, computed with PBEsol.

Unit cell a=5.1404 b=5.1404 c=9.8004 alpha=95.57 beta=95.57 gamma=120.45
Last column: nearest neighbours and their distance in Å.
Sites, in units of the cell vectors:
Li  0.0000  0.0000  0.0000  6 O 2.06-2.24
Li  0.2721  0.2284  0.7576  5 O 2.00-2.24
Li  0.4114  0.0938  0.2381  5 O 1.97-2.17
Li  0.7716  0.7279  0.2424  5 O 2.00-2.24
Li  0.9062  0.5886  0.7619  5 O 1.97-2.17
Ni  0.0927  0.4008  0.2453  6 O 2.01-2.25
Ni  0.1766  0.8234  0.5000  6 O 2.01-2.12
Ni  0.5142  0.4858  0.5000  6 O 1.95-2.09
Ni  0.5992  0.9073  0.7547  6 O 2.01-2.25
Ni  0.6717  0.3283  0.0000  6 O 1.99-2.07
Sn  0.3403  0.6597  0.0000  6 O 2.06-2.08
Sn  0.8473  0.1527  0.5000  6 O 2.06-2.11
O  0.0425  0.6750  0.1241  2 Ni 1.99-2.02, 2 Li 2.00-2.11, 1 Sn 2.07
O  0.1270  0.1135  0.3736  1 Sn 2.06, 2 Li 2.07-2.10, 3 Ni 2.09-2.12
O  0.2499  0.5402  0.6149  3 Ni 1.95-2.08, 1 Sn 2.11
O  0.3250  0.9575  0.8759  2 Ni 1.99-2.02, 2 Li 2.00-2.11, 1 Sn 2.07
O  0.3843  0.3735  0.1212  3 Li 1.97-2.06, 1 Sn 2.06, 2 Ni 2.07
O  0.4598  0.7501  0.3851  3 Ni 1.95-2.08, 1 Sn 2.11
O  0.5481  0.2020  0.6116  2 Ni 1.97-2.01, 1 Sn 2.07, 2 Li 2.15-2.17
O  0.6265  0.6157  0.8788  3 Li 1.97-2.06, 1 Sn 2.06, 2 Ni 2.07
O  0.7092  0.0499  0.1252  2 Ni 2.01-2.04, 3 Li 2.06-2.24, 1 Sn 2.08
O  0.7980  0.4519  0.3884  2 Ni 1.97-2.01, 1 Sn 2.07, 2 Li 2.15-2.17
O  0.8865  0.8730  0.6264  1 Sn 2.06, 2 Li 2.07-2.10, 3 Ni 2.09-2.12
O  0.9501  0.2908  0.8748  2 Ni 2.01-2.04, 3 Li 2.06-2.24, 1 Sn 2.08

formation energy (no corrections): -1.35 eV/atom
VASP energy: -6.0173 eV per atom
DOS(E_F): 0.192 states/eV per atom



# 2
Li4Ni3Sn5O16 after structural relaxation, computed with PBEsol.

Unit cell a=5.9574 b=6.0191 c=9.6773 alpha=88.74 beta=89.25 gamma=61.42
Last column: nearest neighbours and their distance in Å.
Sites, in units of the cell vectors:
Li  0.0000  0.0000  0.0000  4 O 1.80-1.99
Li  0.0123  0.9975  0.5099  3 O 1.78-1.91
Li  0.3119  0.2972  0.6121  4 O 1.98-2.05
Li  0.6478  0.6505  0.0949  4 O 1.94-2.01
Ni  0.1525  0.1478  0.2819  6 O 1.97-2.12
Ni  0.3248  0.8030  0.7852  5 O 1.89-2.11
Ni  0.8140  0.3206  0.7844  6 O 1.92-2.03
Sn  0.1504  0.6370  0.2847  6 O 2.04-2.11
Sn  0.3143  0.3151  0.0023  6 O 2.03-2.17
Sn  0.6419  0.6267  0.5140  6 O 2.05-2.16
Sn  0.6436  0.1438  0.2855  6 O 2.03-2.12
Sn  0.8136  0.8132  0.7856  6 O 2.03-2.12
O  0.0070  0.9778  0.6940  1 Li 1.78, 1 Ni 1.89
O  0.0134  0.4651  0.1528  1 Li 2.00, 2 Sn 2.06-2.14, 1 Ni 2.07
O  0.1385  0.1623  0.8895  1 Li 1.87, 1 Ni 1.98, 1 Sn 2.03
O  0.1525  0.6713  0.9034  1 Ni 1.92, 1 Li 1.99, 2 Sn 2.10-2.11
O  0.3106  0.8087  0.4018  1 Li 1.90, 2 Sn 2.05-2.07, 1 Ni 2.12
O  0.3134  0.3065  0.4002  1 Ni 2.02, 1 Li 2.05, 2 Sn 2.05-2.06
O  0.4648  0.0136  0.1522  1 Li 2.01, 1 Ni 2.06, 2 Sn 2.07-2.14
O  0.4714  0.4642  0.1538  1 Li 1.94, 2 Sn 2.10-2.11
O  0.4888  0.9318  0.6601  1 Ni 1.92, 1 Li 1.98, 1 Sn 2.10
O  0.5120  0.4692  0.6688  2 Ni 1.94-2.11, 1 Li 2.00, 1 Sn 2.09
O  0.6316  0.6464  0.8896  2 Ni 1.90-2.02, 1 Li 1.99, 1 Sn 2.04
O  0.6698  0.1492  0.8996  1 Ni 1.95, 1 Li 1.99, 2 Sn 2.11
O  0.8204  0.8120  0.4104  3 Sn 2.11-2.12, 1 Li 2.19
O  0.8222  0.2985  0.4023  1 Li 1.91, 2 Sn 2.06-2.07, 1 Ni 2.08
O  0.9457  0.4870  0.6629  1 Ni 1.92, 1 Li 1.98, 1 Sn 2.12
O  0.9858  0.9801  0.1857  1 Li 1.80, 1 Ni 1.97

formation energy (no corrections): -1.54 eV/atom
VASP energy: -6.2362 eV per atom
DOS(E_F): 0.185 states/eV per atom



# 3
Li3Ni2SnO6 after structural relaxation, computed with PBEsol.

Unit cell a=5.9744 b=6.6125 c=6.6138 alpha=73.18 beta=63.27 gamma=76.98
Last column: nearest neighbours and their distance in Å.
Sites, in units of the cell vectors:
Li  0.0625  0.3525  0.1952  4 O 2.00-2.11
Li  0.2495  0.9978  0.5001  6 O 2.12-2.15
Li  0.4208  0.6417  0.8310  3 O 1.99-2.22
Li  0.5792  0.3583  0.1690  3 O 1.99-2.22
Li  0.7505  0.0022  0.4999  6 O 2.12-2.15
Li  0.9375  0.6475  0.8048  4 O 2.00-2.11
Ni  0.1631  0.6609  0.3422  5 O 1.89-2.05
Ni  0.3382  0.3395  0.6510  6 O 2.00-2.16
Ni  0.6618  0.6605  0.3490  6 O 2.00-2.16
Ni  0.8369  0.3391  0.6578  5 O 1.89-2.05
Sn  0.0000  0.0000  0.0000  6 O 2.06-2.08
Sn  0.5000  0.0000  0.0000  6 O 2.07-2.08
O  0.0450  0.6736  0.1062  2 Ni 1.96-2.13, 2 Li 2.02-2.17, 1 Sn 2.06
O  0.1274  0.0197  0.2365  2 Sn 2.07, 3 Li 2.11-2.14, 1 Ni 2.26
O  0.1793  0.3361  0.4426  3 Ni 1.89-2.05, 1 Li 2.02
O  0.2912  0.6567  0.5593  3 Ni 1.90-2.02, 1 Li 2.00
O  0.3731  0.9976  0.7550  2 Sn 2.08, 3 Li 2.12-2.24, 1 Ni 2.16
O  0.4898  0.3268  0.8892  2 Ni 1.95-2.12, 1 Li 1.99, 1 Sn 2.07
O  0.5102  0.6732  0.1108  2 Ni 1.95-2.12, 1 Li 1.99, 1 Sn 2.07
O  0.6269  0.0024  0.2450  2 Sn 2.08, 3 Li 2.12-2.24, 1 Ni 2.16
O  0.7088  0.3433  0.4407  3 Ni 1.90-2.02, 1 Li 2.00
O  0.8207  0.6639  0.5574  3 Ni 1.89-2.05, 1 Li 2.02
O  0.8726  0.9803  0.7635  2 Sn 2.07, 3 Li 2.11-2.14, 1 Ni 2.26
O  0.9550  0.3264  0.8938  2 Ni 1.96-2.13, 2 Li 2.02-2.17, 1 Sn 2.06

formation energy (no corrections): -1.45 eV/atom
VASP energy: -5.9522 eV per atom
DOS(E_F): 0.141 states/eV per atom
E above lowest polymorph: 0.000 eV/f.u.



| no. | mass density (Mg/m³) |
| --- | --- |
| 1 | 5.75 |
| 2 | 5.74 |
| 3 | 5.28 |